1.
An optimized crystal structure of NdAgPd, computed with PBE-GGA.

abc: 7.6362 7.6362 3.9918
angles: 90.00 90.00 120.00
Last column: nearest neighbours and their distance in Å.
Space group P-62m (No. 189)
Symmetry-distinct sites (fractional):
Nd: 0.0000 0.6030 0.0000 x3  5 Pd 3.03-3.08, 6 Ag 3.32-3.33
Ag: 0.0000 0.2563 0.5000 x3  4 Pd 2.80-2.88
Pd: 0.0000 0.0000 0.0000 x1  6 Ag 2.80, 3 Nd 3.03
Pd: 0.3333 0.6667 0.5000 x2  3 Ag 2.88, 6 Nd 3.08

As for the total magnetic moment: 0.000 μB per atom. The value obtained for the final energy is -4.848 eV/atom. The relative energy among the computed polymorphs is 13 meV per atom. As for the formation energy: -0.58 eV per atom.

---

2.
An optimized crystal structure of Nd2AgPd3, computed with PBE-GGA.

abc: 7.3406 9.4205 15.5999
angles: 90.00 90.00 90.00
Last column: nearest neighbours and their distance in Å.
Space group Fmmm (No. 69)
Symmetry-distinct sites (fractional):
Nd: 0.2464 0.0000 0.0000 x8  10 Pd 3.11-3.27, 2 Ag 3.21
Nd: 0.2500 0.2500 0.2500 x8  8 Pd 3.16-3.29, 4 Ag 3.25
Ag: 0.0000 0.0000 0.3325 x8  3 Pd 2.66-2.67
Pd: 0.0000 0.0000 0.1620 x8  2 Pd 2.66, 1 Ag 2.66
Pd: 0.0000 0.2484 0.4147 x16  2 Pd 2.66, 1 Ag 2.67

As for the total magnetic moment: 0.000 μB per atom. The value obtained for the final energy is -5.252 eV/atom. The relative energy among the computed polymorphs is 76 meV per atom. As for the formation energy: -0.59 eV per atom.

---

3.
An optimized crystal structure of NdAgPd2, computed with PBE-GGA.

abc: 4.8207 6.1894 5.3438
angles: 90.00 90.00 90.00
Last column: nearest neighbours and their distance in Å.
Space group Pmmn (No. 59, origin choice 2)
Symmetry-distinct sites (fractional):
Nd: 0.2500 0.2500 0.1711 x2  8 Pd 3.03-3.06, 4 Ag 3.11-3.22
Ag: 0.2500 0.7500 0.2279 x2  6 Pd 2.86-2.88, 2 Nd 3.11
Pd: 0.2500 0.0115 0.6691 x4  3 Ag 2.86-2.88, 3 Pd 2.95-3.02, 4 Nd 3.03-3.06

As for the total magnetic moment: 0.000 μB per atom. The value obtained for the final energy is -5.060 eV/atom. The relative energy among the computed polymorphs is 0 meV per atom. As for the formation energy: -0.56 eV per atom.

---

4.
An optimized crystal structure of NdAgPd2, computed with PBE-GGA.

abc: 3.6129 3.6129 6.1059
angles: 90.00 90.00 90.00
Last column: nearest neighbours and their distance in Å.
Space group P4/mmm (No. 123)
Symmetry-distinct sites (fractional):
Nd: 0.0000 0.0000 0.0000 x1  8 Pd 3.03, 2 Ag 3.05
Ag: 0.0000 0.0000 0.5000 x1  8 Pd 2.93, 2 Nd 3.05
Pd: 0.5000 0.5000 0.2661 x2  1 Pd 2.86, 4 Ag 2.93, 4 Nd 3.03

As for the total magnetic moment: 0.000 μB per atom. The value obtained for the final energy is -4.995 eV/atom. The relative energy among the computed polymorphs is 65 meV per atom. As for the formation energy: -0.49 eV per atom.

---

Question: Which of these has the highest relative energy among the computed polymorphs?
Answer: Nd2AgPd3

---

Please write out number 3 again, unchanged.
An optimized crystal structure of NdAgPd2, computed with PBE-GGA.

abc: 4.8207 6.1894 5.3438
angles: 90.00 90.00 90.00
Last column: nearest neighbours and their distance in Å.
Space group Pmmn (No. 59, origin choice 2)
Symmetry-distinct sites (fractional):
Nd: 0.2500 0.2500 0.1711 x2  8 Pd 3.03-3.06, 4 Ag 3.11-3.22
Ag: 0.2500 0.7500 0.2279 x2  6 Pd 2.86-2.88, 2 Nd 3.11
Pd: 0.2500 0.0115 0.6691 x4  3 Ag 2.86-2.88, 3 Pd 2.95-3.02, 4 Nd 3.03-3.06

As for the total magnetic moment: 0.000 μB per atom. The value obtained for the final energy is -5.060 eV/atom. The relative energy among the computed polymorphs is 0 meV per atom. As for the formation energy: -0.56 eV per atom.

---

Question: Look up the total magnetic moment of the third one.
Answer: 0.000 μB per atom